Material: PrV2ReO8
Method: DFT, PBE with a Hubbard U
State: optimized geometry

Cell: 4.761 4.759 6.535 Å, 90.00 90.00 87.15°
Last column: magnetic moment on the atom in μB.
Atoms (fractional coordinates):
Pr 0.000 0.000 0.500  0.01
V 0.500 0.500 0.746  1.49
V 0.500 0.500 0.254  1.49
Re 0.000 0.000 0.000  0.96
O 0.214 0.786 0.208  -0.03
O 0.718 0.719 0.000  0.00
O 0.786 0.214 0.208  -0.03
O 0.786 0.214 0.792  -0.03
O 0.282 0.281 0.000  0.00
O 0.214 0.786 0.792  -0.03
O 0.668 0.670 0.500  -0.04
O 0.332 0.330 0.500  -0.04

Results
Calculated total energy: -0.591 Ry per atom
Total magnetic moment: 4.02 μB/cell
Density of states at the Fermi level: 0.17 states/eV/atom
Space group: Cmmm (65)